Density functional theory data (PBE) for a relaxed CaTa2Si crystal.

Its magnetization is 0.00 μB per atom. The value obtained for the energy relative to the elements, uncorrected is 764 meV per atom. As for the theoretical density: 7.36 g/cm³. The density of states at the Fermi level is 4.0 states/eV/f.u.

The structure belongs to space group I-42d (No. 122); the cell edges are 4.5009, 4.5009 and 19.1661 Å and the angles 90.00°, 90.00° and 90.00°. Symmetry generates all atoms from Ca at (0.0000, 0.0000, 0.0000), Ta at (0.1097, 0.2500, 0.6250) and Si at (0.0000, 0.0000, 0.5000).